w.
## La4Tb2Ho5 (PBE-GGA)

Data for crystalline La4Tb2Ho5 at its relaxed geometry.

The structure belongs to space group C2/m (No. 12); the cell edges are 24.043, 3.531 and 8.831 Å and the angles 90.00°, 93.70° and 90.00°. The inequivalent atoms are La at (0.045, 0.000, 0.339), La at (0.230, 0.500, 0.823), Tb at (0.088, 0.500, 0.697), Ho at (0.000, 0.500, 0.000), Ho at (0.129, 0.000, 0.036) and Ho at (0.185, 0.000, 0.478).

For the density of states at the Fermi level, the calculation gives 18.8 states/eV/f.u.

x.
## La4Tb2Ho5 (PBE-GGA)

Data for crystalline La4Tb2Ho5 at its relaxed geometry.

The structure belongs to space group C2/m (No. 12); the cell edges are 24.125, 3.684 and 8.904 Å and the angles 90.00°, 111.62° and 90.00°. The inequivalent atoms are La at (0.041, 0.000, 0.210), La at (0.182, 0.500, 0.384), Tb at (0.110, 0.500, 0.948), Ho at (0.000, 0.500, 0.500), Ho at (0.126, 0.000, 0.630) and Ho at (0.249, 0.000, 0.158).

For the density of states at the Fermi level, the calculation gives 16.1 states/eV/f.u.

Relative calculated energies, zero for the most stable structure, unit meV per atom: w 70; x 0.

w.
## La7TbHo4 (PBE-GGA)

Data for crystalline La7TbHo4 at its relaxed geometry.

The structure belongs to space group C2/m (No. 12); the cell edges are 16.382, 6.090 and 9.656 Å and the angles 90.00°, 118.28° and 90.00°. The inequivalent atoms are La at (0.000, 0.000, 0.000), La at (0.089, 0.500, 0.457), La at (0.212, 0.500, 0.894), La at (0.223, 0.500, 0.252), Tb at (0.000, 0.500, 0.000), Ho at (0.065, 0.000, 0.702) and Ho at (0.167, 0.000, 0.363).

For the density of states at the Fermi level, the calculation gives 20.9 states/eV/f.u.

x.
## La7TbHo4 (PBE-GGA)

Data for crystalline La7TbHo4 at its relaxed geometry.

The structure belongs to space group P-1 (No. 2); the cell edges are 6.404, 7.348 and 9.088 Å and the angles 89.93°, 76.36° and 89.93°. The inequivalent atoms are La at (0.000, 0.000, 0.000), La at (0.223, 0.000, 0.334), La at (0.281, 0.748, 0.664), La at (0.499, 0.744, 0.003), Tb at (0.000, 0.500, 0.000), Ho at (0.216, 0.501, 0.335) and Ho at (0.277, 0.258, 0.668).

For the density of states at the Fermi level, the calculation gives 18.3 states/eV/f.u.

Relative calculated energies, zero for the most stable structure, unit meV per atom: w 195; x 0.